# 1
The following is a GGA-PBE calculation of a geometry-optimized Mg3PbS structure, from the Alexandria database.

Cell lengths 4.8925, 4.8925, 4.8925 Å; angles 90.00, 90.00, 90.00 degrees
With the nearest neighbours (Å) after each atom.
Element x y z (fractional)
Mg: 0.0000 0.0000 0.5000  2 S 2.45
Mg: 0.0000 0.5000 0.0000  2 S 2.45
Mg: 0.5000 0.0000 0.0000  2 S 2.45
Pb: 0.5000 0.5000 0.5000  12 Mg 3.46
S: 0.0000 0.0000 0.0000  6 Mg 2.45

Summary:
Energy relative to the elements, uncorrected, eV/atom: -0.31
Space group: Pm-3m (221)
Total DFT energy (no corrections), eV/atom: -2.832
Distance to the lowest polymorph of the same formula, eV per atom: 0.000

# 2
The following is a GGA-PBE calculation of a geometry-optimized MgPb4S5 structure, from the Alexandria database.

Cell lengths 17.2377, 17.2377, 17.2377 Å; angles 13.74, 13.74, 13.74 degrees
With the nearest neighbours (Å) after each atom.
Element x y z (fractional)
Mg: 0.0000 0.0000 0.0000  6 S 2.74
Pb: 0.2015 0.2015 0.2015  6 S 2.97
Pb: 0.3956 0.3956 0.3956  6 S 2.97-3.01
Pb: 0.6044 0.6044 0.6044  6 S 2.97-3.01
Pb: 0.7985 0.7985 0.7985  6 S 2.97
S: 0.0970 0.0970 0.0970  6 Pb 2.97
S: 0.3069 0.3069 0.3069  3 Mg 2.74, 3 Pb 3.01
S: 0.5000 0.5000 0.5000  6 Pb 2.97
S: 0.6931 0.6931 0.6931  3 Mg 2.74, 3 Pb 3.01
S: 0.9030 0.9030 0.9030  6 Pb 2.97

Summary:
Energy relative to the elements, uncorrected, eV/atom: -0.67
Space group: R-3m (166)
Total DFT energy (no corrections), eV/atom: -4.381

# 3
The following is a GGA-PBE calculation of a geometry-optimized MgPb2S4 structure, from the Alexandria database.

Cell lengths 4.9086, 4.9086, 14.2548 Å; angles 90.00, 90.00, 90.00 degrees
With the nearest neighbours (Å) after each atom.
Element x y z (fractional)
Mg: 0.0000 0.0000 0.0000  6 S 2.45-2.56
Mg: 0.5000 0.5000 0.5000  6 S 2.45-2.56
Pb: 0.0000 0.0000 0.3692  1 S 2.70
Pb: 0.0000 0.0000 0.6308  1 S 2.70
Pb: 0.5000 0.5000 0.1308  1 S 2.70
Pb: 0.5000 0.5000 0.8692  1 S 2.70
S: 0.0000 0.0000 0.1798  1 Mg 2.56, 1 Pb 2.70
S: 0.0000 0.0000 0.8202  1 Mg 2.56, 1 Pb 2.70
S: 0.0000 0.5000 0.0000  2 Mg 2.45
S: 0.0000 0.5000 0.5000  2 Mg 2.45
S: 0.5000 0.0000 0.0000  2 Mg 2.45
S: 0.5000 0.0000 0.5000  2 Mg 2.45
S: 0.5000 0.5000 0.3202  1 Mg 2.56, 1 Pb 2.70
S: 0.5000 0.5000 0.6798  1 Mg 2.56, 1 Pb 2.70

Summary:
Energy relative to the elements, uncorrected, eV/atom: -0.30
Space group: I4/mmm (139)
Total DFT energy (no corrections), eV/atom: -3.945

# 4
The following is a GGA-PBE calculation of a geometry-optimized Mg2PbS structure, from the Alexandria database.

Cell lengths 7.0745, 7.0745, 7.0745 Å; angles 90.00, 90.00, 90.00 degrees
With the nearest neighbours (Å) after each atom.
Element x y z (fractional)
Mg: 0.2500 0.2500 0.2500  4 S 3.06, 4 Pb 3.06
Mg: 0.2500 0.2500 0.7500  4 S 3.06, 4 Pb 3.06
Mg: 0.2500 0.7500 0.2500  4 S 3.06, 4 Pb 3.06
Mg: 0.2500 0.7500 0.7500  4 S 3.06, 4 Pb 3.06
Mg: 0.7500 0.2500 0.2500  4 S 3.06, 4 Pb 3.06
Mg: 0.7500 0.2500 0.7500  4 S 3.06, 4 Pb 3.06
Mg: 0.7500 0.7500 0.2500  4 S 3.06, 4 Pb 3.06
Mg: 0.7500 0.7500 0.7500  4 S 3.06, 4 Pb 3.06
Pb: 0.0000 0.0000 0.0000  8 Mg 3.06
Pb: 0.0000 0.5000 0.5000  8 Mg 3.06
Pb: 0.5000 0.0000 0.5000  8 Mg 3.06
Pb: 0.5000 0.5000 0.0000  8 Mg 3.06
S: 0.0000 0.0000 0.5000  8 Mg 3.06
S: 0.0000 0.5000 0.0000  8 Mg 3.06
S: 0.5000 0.0000 0.0000  8 Mg 3.06
S: 0.5000 0.5000 0.5000  8 Mg 3.06

Summary:
Energy relative to the elements, uncorrected, eV/atom: -0.03
Space group: Fm-3m (225)
Total DFT energy (no corrections), eV/atom: -2.783
Distance to the lowest polymorph of the same formula, eV per atom: 0.680

# 5
The following is a GGA-PBE calculation of a geometry-optimized Mg2PbS structure, from the Alexandria database.

Cell lengths 3.6708, 3.6708, 22.8007 Å; angles 90.00, 90.00, 120.00 degrees
With the nearest neighbours (Å) after each atom.
Element x y z (fractional)
Mg: 0.0000 0.0000 0.2328  3 S 2.60
Mg: 0.0000 0.0000 0.7672  3 S 2.60
Mg: 0.3333 0.6667 0.4339  3 S 2.60
Mg: 0.3333 0.6667 0.8995  3 S 2.60
Mg: 0.6667 0.3333 0.1005  3 S 2.60
Mg: 0.6667 0.3333 0.5661  3 S 2.60
Pb: 0.0000 0.0000 0.0000  6 Mg 3.12
Pb: 0.3333 0.6667 0.6667  6 Mg 3.12
Pb: 0.6667 0.3333 0.3333  6 Mg 3.12
S: 0.0000 0.0000 0.5000  6 Mg 2.60
S: 0.3333 0.6667 0.1667  6 Mg 2.60
S: 0.6667 0.3333 0.8333  6 Mg 2.60

Summary:
Energy relative to the elements, uncorrected, eV/atom: -0.71
Space group: R-3m (166)
Total DFT energy (no corrections), eV/atom: -3.462
Distance to the lowest polymorph of the same formula, eV per atom: 0.000

# 6
The following is a GGA-PBE calculation of a geometry-optimized MgPb3S structure, from the Alexandria database.

Cell lengths 5.5362, 5.5362, 5.5362 Å; angles 90.00, 90.00, 90.00 degrees
With the nearest neighbours (Å) after each atom.
Element x y z (fractional)
Mg: 0.0000 0.0000 0.0000  12 Pb 3.91
Pb: 0.0000 0.5000 0.5000  2 S 2.77
Pb: 0.5000 0.0000 0.5000  2 S 2.77
Pb: 0.5000 0.5000 0.0000  2 S 2.77
S: 0.5000 0.5000 0.5000  6 Pb 2.77

Summary:
Energy relative to the elements, uncorrected, eV/atom: 0.18
Space group: Pm-3m (221)
Total DFT energy (no corrections), eV/atom: -3.189
Distance to the lowest polymorph of the same formula, eV per atom: 0.000

# 7
The following is a GGA-PBE calculation of a geometry-optimized Sr2MgPbS structure, from the Alexandria database.

Cell lengths 5.7164, 5.7164, 4.9526 Å; angles 90.00, 90.00, 90.00 degrees
With the nearest neighbours (Å) after each atom.
Element x y z (fractional)
Sr: 0.0000 0.5000 0.0000  2 S 2.86
Sr: 0.5000 0.0000 0.0000  2 S 2.86
Mg: 0.0000 0.0000 0.5000  2 S 2.48
Pb: 0.5000 0.5000 0.5000  8 Sr 3.78, 4 Mg 4.04
S: 0.0000 0.0000 0.0000  2 Mg 2.48

Summary:
Energy relative to the elements, uncorrected, eV/atom: -0.84
Space group: P4/mmm (123)
Total DFT energy (no corrections), eV/atom: -3.397

# 8
The following is a GGA-PBE calculation of a geometry-optimized MgZrPb2S5 structure, from the Alexandria database.

Cell lengths 8.6794, 8.6794, 13.2271 Å; angles 90.00, 90.00, 154.05 degrees
With the nearest neighbours (Å) after each atom.
Element x y z (fractional)
Mg: 0.0558 0.9442 0.5000  4 S 2.43-2.57
Mg: 0.9442 0.0558 0.0000  4 S 2.43-2.57
Zr: 0.2730 0.7270 0.0694  6 S 2.50-2.72
Zr: 0.7270 0.2730 0.5694  6 S 2.50-2.72
Pb: 0.3797 0.6203 0.3312  3 S 2.84-3.06
Pb: 0.4057 0.5943 0.7009  6 S 2.89-3.03
Pb: 0.5943 0.4057 0.2009  6 S 2.89-3.03
Pb: 0.6203 0.3797 0.8312  3 S 2.84-3.06
S: 0.0015 0.9985 0.3300  1 Mg 2.43
S: 0.1263 0.8737 0.0447  1 Zr 2.50
S: 0.2017 0.7983 0.4455  1 Mg 2.57, 2 Zr 2.58
S: 0.2330 0.7670 0.7054  2 Zr 2.65, 1 Pb 2.92
S: 0.4307 0.5693 0.1091  2 Mg 2.44, 1 Zr 2.72
S: 0.5693 0.4307 0.6091  2 Mg 2.44, 1 Zr 2.72
S: 0.7670 0.2330 0.2054  2 Zr 2.65, 1 Pb 2.92
S: 0.7983 0.2017 0.9455  1 Mg 2.57, 2 Zr 2.58
S: 0.8737 0.1263 0.5447  1 Zr 2.50
S: 0.9985 0.0015 0.8300  1 Mg 2.43

Summary:
Energy relative to the elements, uncorrected, eV/atom: -1.02
Space group: Cmc2_1 (36)
Total DFT energy (no corrections), eV/atom: -5.264

# 9
The following is a GGA-PBE calculation of a geometry-optimized Mg4SbPb2 structure, from the Alexandria database.

Cell lengths 5.4510, 5.4510, 15.0100 Å; angles 90.00, 90.00, 90.00 degrees
With the nearest neighbours (Å) after each atom.
Element x y z (fractional)
Mg: 0.0000 0.0000 0.1894  1 Sb 2.84, 1 Pb 2.87
Mg: 0.0000 0.0000 0.8106  1 Sb 2.84, 1 Pb 2.87
Mg: 0.0000 0.5000 0.0000  2 Sb 2.73
Mg: 0.0000 0.5000 0.5000  2 Sb 2.73
Mg: 0.5000 0.0000 0.0000  2 Sb 2.73
Mg: 0.5000 0.0000 0.5000  2 Sb 2.73
Mg: 0.5000 0.5000 0.3106  1 Sb 2.84, 1 Pb 2.87
Mg: 0.5000 0.5000 0.6894  1 Sb 2.84, 1 Pb 2.87
Sb: 0.0000 0.0000 0.0000  6 Mg 2.73-2.84
Sb: 0.5000 0.5000 0.5000  6 Mg 2.73-2.84
Pb: 0.0000 0.0000 0.3807  1 Mg 2.87
Pb: 0.0000 0.0000 0.6193  1 Mg 2.87
Pb: 0.5000 0.5000 0.1193  1 Mg 2.87
Pb: 0.5000 0.5000 0.8807  1 Mg 2.87

Summary:
Energy relative to the elements, uncorrected, eV/atom: 0.23
Space group: I4/mmm (139)
Total DFT energy (no corrections), eV/atom: -2.327

# 10
The following is a GGA-PBE calculation of a geometry-optimized Mg2SbPb2 structure, from the Alexandria database.

Cell lengths 8.3924, 8.3924, 3.8316 Å; angles 90.00, 90.00, 90.00 degrees
With the nearest neighbours (Å) after each atom.
Element x y z (fractional)
Mg: 0.1300 0.3700 0.0000  6 Pb 3.02-3.21, 1 Mg 3.09, 2 Sb 3.29
Mg: 0.3700 0.8700 0.0000  6 Pb 3.02-3.21, 1 Mg 3.09, 2 Sb 3.29
Mg: 0.6300 0.1300 0.0000  6 Pb 3.02-3.21, 1 Mg 3.09, 2 Sb 3.29
Mg: 0.8700 0.6300 0.0000  6 Pb 3.02-3.21, 1 Mg 3.09, 2 Sb 3.29
Sb: 0.0000 0.0000 0.0000  4 Mg 3.29, 8 Pb 3.65
Sb: 0.5000 0.5000 0.0000  4 Mg 3.29, 8 Pb 3.65
Pb: 0.1732 0.6732 0.5000  6 Mg 3.02-3.21
Pb: 0.3268 0.1732 0.5000  6 Mg 3.02-3.21
Pb: 0.6732 0.8268 0.5000  6 Mg 3.02-3.21
Pb: 0.8268 0.3268 0.5000  6 Mg 3.02-3.21

Summary:
Energy relative to the elements, uncorrected, eV/atom: 0.05
Space group: P4/mbm (127)
Total DFT energy (no corrections), eV/atom: -2.894
Distance to the lowest polymorph of the same formula, eV per atom: 0.008

# 11
The following is a GGA-PBE calculation of a geometry-optimized Mg3Sb3Pb structure, from the Alexandria database.

Cell lengths 8.9021, 8.9021, 8.9021 Å; angles 55.08, 55.08, 55.08 degrees
With the nearest neighbours (Å) after each atom.
Element x y z (fractional)
Mg: 0.0563 0.3742 0.7098  4 Sb 2.86-2.95
Mg: 0.2902 0.9437 0.6258  4 Sb 2.86-2.95
Mg: 0.3742 0.7098 0.0563  4 Sb 2.86-2.95
Mg: 0.6258 0.2902 0.9437  4 Sb 2.86-2.95
Mg: 0.7098 0.0563 0.3742  4 Sb 2.86-2.95
Mg: 0.9437 0.6258 0.2902  4 Sb 2.86-2.95
Sb: 0.0752 0.7538 0.4224  4 Mg 2.86-2.95
Sb: 0.2462 0.5776 0.9248  4 Mg 2.86-2.95
Sb: 0.4224 0.0752 0.7538  4 Mg 2.86-2.95
Sb: 0.5776 0.9248 0.2462  4 Mg 2.86-2.95
Sb: 0.7538 0.4224 0.0752  4 Mg 2.86-2.95
Sb: 0.9248 0.2462 0.5776  4 Mg 2.86-2.95
Pb: 0.1656 0.1656 0.1656  6 Sb 3.29-3.32
Pb: 0.8344 0.8344 0.8344  6 Sb 3.29-3.32

Summary:
Energy relative to the elements, uncorrected, eV/atom: -0.18
Space group: R-3 (148)
Total DFT energy (no corrections), eV/atom: -3.165

# 12
The following is a GGA-PBE calculation of a geometry-optimized Mg2SbPb2 structure, from the Alexandria database.

Cell lengths 4.2209, 4.2209, 16.4206 Å; angles 90.00, 90.00, 90.00 degrees
With the nearest neighbours (Å) after each atom.
Element x y z (fractional)
Mg: 0.0000 0.5000 0.2500  4 Mg 2.98, 4 Pb 3.25
Mg: 0.0000 0.5000 0.7500  4 Mg 2.98, 4 Pb 3.25
Mg: 0.5000 0.0000 0.2500  4 Mg 2.98, 4 Pb 3.25
Mg: 0.5000 0.0000 0.7500  4 Mg 2.98, 4 Pb 3.25
Sb: 0.0000 0.0000 0.0000  8 Pb 3.40
Sb: 0.5000 0.5000 0.5000  8 Pb 3.40
Pb: 0.0000 0.0000 0.4008  4 Mg 3.25, 1 Pb 3.26, 4 Sb 3.40
Pb: 0.0000 0.0000 0.5992  4 Mg 3.25, 1 Pb 3.26, 4 Sb 3.40
Pb: 0.5000 0.5000 0.0992  4 Mg 3.25, 1 Pb 3.26, 4 Sb 3.40
Pb: 0.5000 0.5000 0.9008  4 Mg 3.25, 1 Pb 3.26, 4 Sb 3.40

Summary:
Energy relative to the elements, uncorrected, eV/atom: 0.16
Space group: I4/mmm (139)
Total DFT energy (no corrections), eV/atom: -2.783
Distance to the lowest polymorph of the same formula, eV per atom: 0.119